No. 1
Sr2InOF: relaxed, PBE.

* energy relative to the elements, uncorrected: -1417 meV per atom
* size of the total moment: 0.0 Bohr magnetons per cell
* space group: P4/mmm
* calculated density: 4.0 Mg/m³

```
Sr2InOF
1.0
4.7794 0.0000 0.0000
0.0000 5.9572 0.0000
0.0000 0.0000 4.7794
Sr F O In
2 1 1 1
Cartesian
0.0000 0.0000 2.3897
2.3897 0.0000 0.0000
0.0000 2.9786 0.0000
0.0000 0.0000 0.0000
2.3897 2.9786 2.3897
```

No. 2
YCuAs: relaxed, PBE.

* size of the total moment: 0.0 Bohr magnetons per cell
* space group: F-43m
* calculated density: 6.2 Mg/m³
* E_form: -56.42 kJ/mol of atoms

```
YCuAs
1.0
-0.6263 0.4798 4.3382
2.8332 -1.8139 2.8505
2.7106 2.5651 2.3485
As Cu Y
1 1 1
Cartesian
2.4588 0.6155 4.7686
1.2294 0.3077 2.3843
0.0000 0.0000 0.0000
```

No. 3
Y2Ge6Pd: relaxed, PBE.

* size of the total moment: 0.0 Bohr magnetons per cell
* space group: Amm2
* calculated density: 6.5 Mg/m³
* E_form: -49.33 kJ/mol of atoms

```
Y2Ge6Pd
1.0
2.0231 -11.0058 0.0000
2.0231 11.0058 0.0000
0.0000 0.0000 4.1132
Y Ge Pd
2 6 1
Cartesian
2.0231 -6.1049 2.0566
2.0231 8.4068 2.0566
2.0231 0.1398 2.0566
2.0231 2.6534 2.0566
2.0231 -10.8309 0.0000
2.0231 -8.3122 0.0000
2.0231 -3.7259 0.0000
2.0231 5.7040 0.0000
2.0231 -1.2911 0.0000
```

No. 4
YBi3N: relaxed, PBE.

* energy relative to the elements, uncorrected: 1262 meV per atom
* size of the total moment: 2.8 Bohr magnetons per cell
* relative energy among the computed polymorphs: 1116 meV per atom
* space group: Pm-3m
* calculated density: 5.8 Mg/m³

```
YBi3N
1.0
5.9249 0.0000 0.0000
0.0000 5.9249 0.0000
0.0000 0.0000 5.9249
Y Bi N
1 3 1
Cartesian
0.0000 0.0000 0.0000
0.0000 2.9624 0.0000
0.0000 0.0000 2.9624
2.9624 0.0000 0.0000
2.9624 2.9624 2.9624
```